(1)
Mg2Zn2Cu: optimized geometry, GGA-PBE.

a = 5.186 Å, b = 5.186 Å, c = 5.186 Å
α = 131.68°, β = 120.83°, γ = 79.78°
Sites, in units of the cell vectors:
Mg1 0.189 0.189 0.000
Mg2 0.811 0.811 0.000
Zn1 0.244 0.500 0.744
Zn2 0.756 0.500 0.256
Cu1 0.500 0.000 0.500

* energy above the most stable polymorph in this dataset: 29.6 meV per atom
* total energy: -2.054 eV per atom

=====

(2)
MgZn2Cu2: optimized geometry, GGA-PBE.

a = 6.500 Å, b = 6.500 Å, c = 6.500 Å
α = 147.45°, β = 147.45°, γ = 46.70°
Sites, in units of the cell vectors:
Mg1 0.000 0.000 0.000
Zn1 0.250 0.750 0.500
Zn2 0.750 0.250 0.500
Cu1 0.400 0.400 0.000
Cu2 0.600 0.600 0.000

* energy above the most stable polymorph in this dataset: 91.6 meV per atom
* total energy: -2.468 eV per atom

=====

(3)
Mg2Zn2Cu: optimized geometry, GGA-PBE.

a = 9.036 Å, b = 9.036 Å, c = 4.330 Å
α = 90.00°, β = 90.00°, γ = 152.43°
Sites, in units of the cell vectors:
Mg1 0.055 0.945 0.750
Mg2 0.251 0.749 0.750
Mg3 0.749 0.251 0.250
Mg4 0.945 0.055 0.250
Zn1 0.350 0.650 0.250
Zn2 0.441 0.559 0.750
Zn3 0.559 0.441 0.250
Zn4 0.650 0.350 0.750
Cu1 0.146 0.854 0.250
Cu2 0.854 0.146 0.750

* energy above the most stable polymorph in this dataset: 63.4 meV per atom
* total energy: -2.020 eV per atom

=====

(4)
Mg2Zn4Cu: optimized geometry, GGA-PBE.

a = 6.380 Å, b = 6.380 Å, c = 6.380 Å
α = 99.87°, β = 99.87°, γ = 131.10°
Sites, in units of the cell vectors:
Mg1 0.250 0.750 0.500
Mg2 0.750 0.250 0.500
Zn1 0.000 0.212 0.212
Zn2 0.000 0.788 0.788
Zn3 0.212 0.000 0.212
Zn4 0.788 0.000 0.788
Cu1 0.500 0.500 0.000

* energy above the most stable polymorph in this dataset: 632.1 meV per atom
* total energy: -1.173 eV per atom